[1]
VASP calculation (GGA-PBE) on a relaxed structure of TiCrReOs.

Values from the calculation:
Energy of formation: -197 meV per atom
M_tot: 0.74 μB per formula unit
Final energy: -10.496 eV per atom
D(E_F): 11.218 states/eV/cell

Cell lengths 6.088, 6.088, 6.088 Å; angles 90.00, 90.00, 90.00 degrees
Space group F-43m (No. 216)
Unique sites:
Ti: 0.000 0.000 0.000 (multiplicity 4)
Cr: 0.000 0.000 0.500 (multiplicity 4)
Re: 0.250 0.250 0.750 (multiplicity 4)
Os: 0.250 0.250 0.250 (multiplicity 4)

---

[2]
VASP calculation (GGA-PBE) on a relaxed structure of AlCdAs2.

Values from the calculation:
Energy of formation: 243 meV per atom
Energy above the lowest structure with this stoichiometry: 1.523 eV/f.u.
M_tot: 0.00 μB per formula unit
Final energy: -3.246 eV per atom
D(E_F): 7.910 states/eV/cell

Cell lengths 6.812, 6.812, 6.812 Å; angles 90.00, 90.00, 90.00 degrees
Space group Fm-3m (No. 225)
Unique sites:
Al: 0.000 0.000 0.000 (multiplicity 4)
Cd: 0.000 0.000 0.500 (multiplicity 4)
As: 0.250 0.250 0.250 (multiplicity 8)

---

[3]
VASP calculation (GGA-PBE) on a relaxed structure of PrTm4Tl2.

Values from the calculation:
Energy of formation: -129 meV per atom
M_tot: 0.00 μB per formula unit
Final energy: -4.043 eV per atom
D(E_F): 17.209 states/eV/cell

Cell lengths 9.239, 9.239, 5.018 Å; angles 90.00, 90.00, 90.00 degrees
Space group P4_2/mnm (No. 136)
Unique sites:
Pr: 0.000 0.000 0.000 (multiplicity 2)
Tm: 0.101 0.354 0.500 (multiplicity 8)
Tl: 0.200 0.800 0.500 (multiplicity 4)

---

[4]
VASP calculation (GGA-PBE) on a relaxed structure of TlZnSn2.

Values from the calculation:
Energy of formation: 171 meV per atom
Energy above the lowest structure with this stoichiometry: 0.413 eV/f.u.
M_tot: 0.00 μB per formula unit
Final energy: -2.741 eV per atom
D(E_F): 9.051 states/eV/cell

Cell lengths 7.465, 7.465, 7.465 Å; angles 90.00, 90.00, 90.00 degrees
Space group Fm-3m (No. 225)
Unique sites:
Tl: 0.000 0.000 0.000 (multiplicity 4)
Zn: 0.000 0.000 0.500 (multiplicity 4)
Sn: 0.250 0.250 0.250 (multiplicity 8)

---

[5]
VASP calculation (GGA-PBE) on a relaxed structure of BeZn2Rh.

Values from the calculation:
Energy of formation: -216 meV per atom
Energy above the lowest structure with this stoichiometry: 0.291 eV/f.u.
M_tot: 0.00 μB per formula unit
Final energy: -3.623 eV per atom
D(E_F): 7.514 states/eV/cell

Cell lengths 5.862, 5.862, 5.862 Å; angles 90.00, 90.00, 90.00 degrees
Space group F-43m (No. 216)
Unique sites:
Be: 0.000 0.000 0.000 (multiplicity 4)
Zn: 0.000 0.000 0.500 (multiplicity 4)
Zn: 0.250 0.250 0.750 (multiplicity 4)
Rh: 0.250 0.250 0.250 (multiplicity 4)

---

[6]
VASP calculation (GGA-PBE) on a relaxed structure of MgFe2I.

Values from the calculation:
Energy above the lowest structure with this stoichiometry: 0.318 eV/f.u.
M_tot: 6.02 μB per formula unit
Final energy: -4.150 eV per atom
Formation energy from raw total energies: 0.8680 eV/atom
D(E_F): 28.116 states/eV/cell

Cell lengths 7.565, 7.565, 5.626 Å; angles 90.00, 90.00, 90.00 degrees
Space group I-42d (No. 122)
Unique sites:
Mg: 0.000 0.000 0.000 (multiplicity 4)
Fe: 0.232 0.250 0.625 (multiplicity 8)
I: 0.000 0.000 0.500 (multiplicity 4)